# 1
## Pr2In2Rh5Pb (PBE)

Data for crystalline Pr2In2Rh5Pb at its relaxed geometry.

Unit cell a=3.805 b=10.317 c=10.317 alpha=90.00 beta=90.00 gamma=90.00
Positions (direct):
Rh (0.500, 0.936, 0.201)
Rh (0.500, 0.799, 0.936)
In (0.000, 0.875, 0.375)
Rh (0.500, 0.299, 0.564)
Pr (0.000, 0.327, 0.827)
Rh (0.500, 0.000, 0.500)
Rh (0.500, 0.436, 0.299)
Rh (0.500, 0.701, 0.436)
Rh (0.500, 0.500, 0.000)
Rh (0.500, 0.201, 0.064)
Pr (0.000, 0.673, 0.173)
Pb (0.000, 0.500, 0.500)
Rh (0.500, 0.564, 0.701)
Pb (0.000, 0.000, 0.000)
Rh (0.500, 0.064, 0.799)
Pr (0.000, 0.827, 0.673)
Pr (0.000, 0.173, 0.327)
In (0.000, 0.625, 0.875)
In (0.000, 0.375, 0.125)
In (0.000, 0.125, 0.625)

Computed properties:
For the density of states at the Fermi level, the calculation gives 0.326 states/eV per atom. For the spin magnetization, the calculation gives 0.00 μB/f.u. As for the symmetry: P4/mbm (127). For the formation energy from the elements, the calculation gives -400 meV/atom.

***

# 2
## PrInPb2S5 (PBE)

Data for crystalline PrInPb2S5 at its relaxed geometry.

Unit cell a=4.093 b=9.321 c=12.830 alpha=90.00 beta=90.00 gamma=102.68
Positions (direct):
In (0.458, 0.916, 0.441)
Pb (0.130, 0.260, 0.670)
S (0.712, 0.425, 0.171)
S (0.521, 0.042, 0.274)
Pr (0.792, 0.585, 0.516)
S (0.288, 0.575, 0.671)
Pb (0.870, 0.740, 0.170)
S (0.479, 0.958, 0.774)
S (0.675, 0.350, 0.868)
Pb (0.873, 0.746, 0.813)
In (0.542, 0.084, 0.941)
S (0.956, 0.911, 0.555)
S (0.044, 0.089, 0.055)
Pr (0.208, 0.415, 0.016)
S (0.639, 0.278, 0.515)
S (0.361, 0.722, 0.015)
S (0.325, 0.650, 0.368)
Pb (0.127, 0.254, 0.313)

Computed properties:
The value obtained for the energy relative to the elements, uncorrected is -0.92 eV/atom. For the density of states at the Fermi level, the calculation gives 0.000 states/eV per atom. For the spin magnetization, the calculation gives 0.00 μB/f.u. As for the symmetry: Cmc2_1 (36).

***

spin magnetization of number 2 (PrInPb2S5)? 0.00 μB/f.u.